Record 1
BaMn3Ag | SCAN | single point on PBEsol structure

a = 4.9587 Å, b = 4.9587 Å, c = 4.9587 Å
α = 90.00°, β = 90.00°, γ = 90.00°
Last column: nearest neighbours and their distance in Å.
Element x y z (fractional)
Ba 0.0000 0.0000 0.0000  6 Mn 2.48
Mn 0.0000 0.0000 0.5000  2 Ba 2.48
Mn 0.0000 0.5000 0.0000  2 Ba 2.48
Mn 0.5000 0.0000 0.0000  2 Ba 2.48
Ag 0.5000 0.5000 0.5000  12 Mn 3.51

Properties
total energy: -23.240 eV/atom
DFT formation energy: 1.90 eV/atom

Record 2
Ba3MnAg | SCAN | single point on PBEsol structure

a = 6.2346 Å, b = 6.2346 Å, c = 6.2346 Å
α = 90.00°, β = 90.00°, γ = 90.00°
Last column: nearest neighbours and their distance in Å.
Element x y z (fractional)
Ba 0.0000 0.0000 0.5000  2 Ag 3.12
Ba 0.0000 0.5000 0.0000  2 Ag 3.12
Ba 0.5000 0.0000 0.0000  2 Ag 3.12
Mn 0.5000 0.5000 0.5000  12 Ba 4.41
Ag 0.0000 0.0000 0.0000  6 Ba 3.12

Properties
total energy: -33.394 eV/atom
DFT formation energy: 0.26 eV/atom

What is the total energy in the first record?
-23.240 eV/atom